ZnCdAg2 (PBE, relaxed); SG = No. 123; E_form = -10 meV/atom; DFT total energy = -7.93 eV per cell; spin magnetization = 0.0 μB per cell
1.0
4.6509 0.0000 0.0000
0.0000 4.6509 0.0000
0.0000 0.0000 3.3061
Zn Cd Ag
1 1 2
direct
0.0000 0.0000 0.0000 Zn
0.5000 0.5000 0.0000 Cd
0.0000 0.5000 0.5000 Ag
0.5000 0.0000 0.5000 Ag

---

Zn2CdAg2 (PBE, relaxed); SG = No. 139; E_form = 35 meV/atom; distance to the lowest polymorph of the same formula = 0.053 eV/atom; DFT total energy = -8.99 eV per cell; spin magnetization = 0.0 μB per cell
1.0
-1.8215 1.8215 6.9785
1.8215 -1.8215 6.9785
1.8215 1.8215 -6.9785
Zn Cd Ag
2 1 2
direct
0.2500 0.7500 0.5000 Zn
0.7500 0.2500 0.5000 Zn
0.0000 0.0000 0.0000 Cd
0.3970 0.3970 0.0000 Ag
0.6030 0.6030 0.0000 Ag

---

ZnCdAg2 (PBE, relaxed); SG = No. 47; E_form = 9 meV/atom; DFT total energy = -7.86 eV per cell; spin magnetization = 0.0 μB per cell
1.0
3.3719 0.0000 0.0000
0.0000 4.5915 0.0000
0.0000 0.0000 4.6420
Zn Cd Ag
1 1 2
direct
0.0000 0.0000 0.0000 Zn
0.5000 0.0000 0.5000 Cd
0.0000 0.5000 0.5000 Ag
0.5000 0.5000 0.0000 Ag

---

ZnCdAg2 (PBE, relaxed); SG = No. 25; E_form = -6 meV/atom; DFT total energy = -7.92 eV per cell; spin magnetization = 0.0 μB per cell
1.0
2.9271 0.0000 0.0000
0.0000 4.1917 0.0000
0.0000 0.0000 5.8680
Zn Cd Ag
1 1 2
direct
0.0000 0.0000 0.0000 Zn
0.5000 0.5000 0.7318 Cd
0.0000 0.0000 0.4794 Ag
0.5000 0.5000 0.2207 Ag

---

ZnCd3Ag (PBE, relaxed); SG = No. 4; E_form = 23 meV/atom; distance to the lowest polymorph of the same formula = 0.000 eV/atom; DFT total energy = -13.51 eV per cell; spin magnetization = 0.0 μB per cell
1.0
6.9420 0.0000 0.0000
0.0000 4.0698 0.0000
-0.1885 0.0000 7.0327
Zn Cd Ag
2 6 2
direct
0.0477 0.0000 0.1278 Zn
0.9523 0.5000 0.8722 Zn
0.1527 0.5016 0.4317 Cd
0.2453 0.0015 0.7445 Cd
0.3432 0.5015 0.0512 Cd
0.6568 0.0015 0.9488 Cd
0.7547 0.5015 0.2555 Cd
0.8473 0.0016 0.5683 Cd
0.4528 0.0018 0.3497 Ag
0.5472 0.5018 0.6503 Ag

---

Zn2Cd8Ag3 (PBE, relaxed); SG = No. 166; E_form = 141 meV/atom; DFT total energy = -16.59 eV per cell; spin magnetization = 0.0 μB per cell
1.0
2.8473 1.6439 10.1236
-2.8473 1.6439 10.1236
0.0000 -3.2878 10.1236
Zn Cd Ag
2 8 3
direct
0.1369 0.1369 0.1369 Zn
0.8631 0.8631 0.8631 Zn
0.2206 0.2206 0.2206 Cd
0.2265 0.2265 0.7258 Cd
0.2265 0.7258 0.2265 Cd
0.2742 0.7735 0.7735 Cd
0.7258 0.2265 0.2265 Cd
0.7735 0.2742 0.7735 Cd
0.7735 0.7735 0.2742 Cd
0.7794 0.7794 0.7794 Cd
0.3134 0.3134 0.3134 Ag
0.5000 0.5000 0.5000 Ag
0.6866 0.6866 0.6866 Ag

---

Zn6CdAg12 (PBE, relaxed); SG = No. 166; E_form = 61 meV/atom; distance to the lowest polymorph of the same formula = 0.000 eV/atom; DFT total energy = -41.62 eV per cell; spin magnetization = 0.0 μB per cell
1.0
5.6356 3.2537 3.0964
-5.6356 3.2537 3.0964
0.0000 -6.5074 3.0964
Zn Cd Ag
6 1 12
direct
0.0765 0.3285 0.3285 Zn
0.3285 0.0765 0.3285 Zn
0.3285 0.3285 0.0765 Zn
0.6715 0.6715 0.9235 Zn
0.6715 0.9235 0.6715 Zn
0.9235 0.6715 0.6715 Zn
0.5000 0.5000 0.5000 Cd
0.0802 0.0802 0.6933 Ag
0.0802 0.6933 0.0802 Ag
0.2366 0.5000 0.7634 Ag
0.2366 0.7634 0.5000 Ag
0.3067 0.9198 0.9198 Ag
0.5000 0.2366 0.7634 Ag
0.5000 0.7634 0.2366 Ag
0.6933 0.0802 0.0802 Ag
0.7634 0.2366 0.5000 Ag
0.7634 0.5000 0.2366 Ag
0.9198 0.3067 0.9198 Ag
0.9198 0.9198 0.3067 Ag

---

ZnCdAg2 (PBE, relaxed); SG = No. 44; E_form = -15 meV/atom; DFT total energy = -7.95 eV per cell; spin magnetization = 0.0 μB per cell
1.0
-1.6553 2.3032 4.6870
1.6553 -2.3032 4.6870
1.6553 2.3032 -4.6870
Zn Cd Ag
1 1 2
direct
0.0000 0.0000 0.0000 Zn
0.7524 0.2524 0.5000 Cd
0.2293 0.7293 0.5000 Ag
0.4884 0.4884 0.0000 Ag

---

Zn2Cd3Ag8 (PBE, relaxed); SG = No. 166; E_form = 103 meV/atom; distance to the lowest polymorph of the same formula = 0.094 eV/atom; DFT total energy = -26.77 eV per cell; spin magnetization = 0.0 μB per cell
1.0
2.7633 1.5954 9.9140
-2.7633 1.5954 9.9140
0.0000 -3.1907 9.9140
Zn Cd Ag
2 3 8
direct
0.1391 0.1391 0.1391 Zn
0.8609 0.8609 0.8609 Zn
0.3175 0.3175 0.3175 Cd
0.5000 0.5000 0.5000 Cd
0.6825 0.6825 0.6825 Cd
0.2238 0.2238 0.2238 Ag
0.2347 0.2347 0.7321 Ag
0.2347 0.7321 0.2347 Ag
0.2679 0.7653 0.7653 Ag
0.7321 0.2347 0.2347 Ag
0.7653 0.2679 0.7653 Ag
0.7653 0.7653 0.2679 Ag
0.7762 0.7762 0.7762 Ag

---

Zn2CdAg (PBE, relaxed); SG = No. 35; E_form = 60 meV/atom; DFT total energy = -6.08 eV per cell; spin magnetization = 0.0 μB per cell
1.0
1.4733 -2.6012 0.0000
1.4733 2.6012 0.0000
0.0000 0.0000 9.3646
Zn Cd Ag
2 1 1
direct
0.0000 0.0000 0.0000 Zn
0.5000 0.5000 0.2330 Zn
0.0000 0.0000 0.4947 Cd
0.5000 0.5000 0.7625 Ag

---

ZnCdAg6 (PBE, relaxed); SG = No. 123; E_form = -17 meV/atom; DFT total energy = -19.43 eV per cell; spin magnetization = 0.0 μB per cell
1.0
4.2458 0.0000 0.0000
0.0000 4.2458 0.0000
0.0000 0.0000 7.9074
Zn Cd Ag
1 1 6
direct
0.0000 0.0000 0.0000 Zn
0.0000 0.0000 0.5000 Cd
0.0000 0.5000 0.2403 Ag
0.0000 0.5000 0.7597 Ag
0.5000 0.0000 0.2403 Ag
0.5000 0.0000 0.7597 Ag
0.5000 0.5000 0.0000 Ag
0.5000 0.5000 0.5000 Ag

---

Zn2CdAg (PBE, relaxed); SG = No. 65; E_form = 71 meV/atom; DFT total energy = -6.03 eV per cell; spin magnetization = 0.0 μB per cell
1.0
1.6330 -2.3593 0.0000
1.6330 2.3593 0.0000
0.0000 0.0000 9.1925
Zn Cd Ag
2 1 1
direct
0.0000 0.0000 0.2357 Zn
0.0000 0.0000 0.7643 Zn
0.5000 0.5000 0.5000 Cd
0.5000 0.5000 0.0000 Ag

---

Zn2Cd3Ag7 (PBE, relaxed); SG = No. 10; E_form = 62 meV/atom; distance to the lowest polymorph of the same formula = 0.009 eV/atom; DFT total energy = -24.51 eV per cell; spin magnetization = 0.0 μB per cell
1.0
5.1950 0.0000 0.0000
0.0000 4.6815 0.0000
-0.4868 0.0000 9.6838
Zn Cd Ag
2 3 7
direct
0.1210 0.0000 0.2860 Zn
0.8790 0.0000 0.7140 Zn
0.0000 0.0000 0.0000 Cd
0.4322 0.5000 0.3450 Cd
0.5678 0.5000 0.6550 Cd
0.0633 0.5000 0.8139 Ag
0.2599 0.0000 0.5509 Ag
0.4325 0.0000 0.8368 Ag
0.5000 0.5000 0.0000 Ag
0.5675 0.0000 0.1632 Ag
0.7402 0.0000 0.4491 Ag
0.9367 0.5000 0.1861 Ag

---

Zn4CdAg3 (PBE, relaxed); SG = No. 44; E_form = 93 meV/atom; distance to the lowest polymorph of the same formula = 0.093 eV/atom; DFT total energy = -13.82 eV per cell; spin magnetization = 0.0 μB per cell
1.0
-2.7537 4.7614 2.6932
2.7537 -4.7614 2.6932
2.7537 4.7614 -2.6932
Zn Cd Ag
4 1 3
direct
0.2186 0.4627 0.2441 Zn
0.2186 0.9745 0.7559 Zn
0.2279 0.0000 0.2279 Zn
0.7721 0.0000 0.7721 Zn
0.6797 0.1797 0.5000 Cd
0.2342 0.5009 0.7333 Ag
0.7128 0.7128 0.0000 Ag
0.7676 0.5009 0.2667 Ag

---

Zn2Cd3Ag7 (PBE, relaxed); SG = No. 166; E_form = 53 meV/atom; distance to the lowest polymorph of the same formula = 0.000 eV/atom; DFT total energy = -24.61 eV per cell; spin magnetization = 0.0 μB per cell
1.0
2.7826 1.6065 8.8495
-2.7826 1.6065 8.8495
0.0000 -3.2131 8.8495
Zn Cd Ag
2 3 7
direct
0.1666 0.1666 0.1666 Zn
0.8334 0.8334 0.8334 Zn
0.3530 0.3530 0.3530 Cd
0.5000 0.5000 0.5000 Cd
0.6470 0.6470 0.6470 Cd
0.0000 0.0000 0.0000 Ag
0.0830 0.0830 0.5787 Ag
0.0830 0.5787 0.0830 Ag
0.4213 0.9170 0.9170 Ag
0.5787 0.0830 0.0830 Ag
0.9170 0.4213 0.9170 Ag
0.9170 0.9170 0.4213 Ag

---

ZnCdAg2 (PBE, relaxed); SG = No. 122; E_form = 156 meV/atom; DFT total energy = -14.53 eV per cell; spin magnetization = 0.0 μB per cell
1.0
-2.0060 2.0060 9.8854
2.0060 -2.0060 9.8854
2.0060 2.0060 -9.8854
Zn Cd Ag
2 2 4
direct
0.0000 0.0000 0.0000 Zn
0.7500 0.2500 0.5000 Zn
0.2500 0.7500 0.5000 Cd
0.5000 0.5000 0.0000 Cd
0.1184 0.6250 0.9934 Ag
0.3750 0.3684 0.4934 Ag
0.6316 0.1250 0.0066 Ag
0.8750 0.8816 0.5066 Ag

---

Zn2CdAg (PBE, relaxed); SG = No. 11; E_form = 5 meV/atom; DFT total energy = -12.59 eV per cell; spin magnetization = 0.0 μB per cell
1.0
4.0038 0.0000 0.0000
0.0000 4.1203 0.0000
-0.1012 0.0000 8.3783
Zn Cd Ag
4 2 2
direct
0.0003 0.2500 0.1073 Zn
0.9997 0.7500 0.8927 Zn
0.4986 0.2500 0.8935 Zn
0.5014 0.7500 0.1065 Zn
0.4988 0.7500 0.6356 Cd
0.5012 0.2500 0.3644 Cd
0.0006 0.7500 0.3516 Ag
0.9994 0.2500 0.6484 Ag

---

Zn2CdAg2 (PBE, relaxed); SG = No. 139; E_form = 121 meV/atom; distance to the lowest polymorph of the same formula = 0.139 eV/atom; DFT total energy = -8.56 eV per cell; spin magnetization = 0.0 μB per cell
1.0
-1.9738 1.9738 6.2120
1.9738 -1.9738 6.2120
1.9738 1.9738 -6.2120
Zn Cd Ag
2 1 2
direct
0.0992 0.0992 0.0000 Zn
0.9008 0.9008 0.0000 Zn
0.5000 0.5000 0.0000 Cd
0.2500 0.7500 0.5000 Ag
0.7500 0.2500 0.5000 Ag

---

ZnCd5Ag2 (PBE, relaxed); SG = No. 107; E_form = 25 meV/atom; distance to the lowest polymorph of the same formula = 0.000 eV/atom; DFT total energy = -11.35 eV per cell; spin magnetization = 0.0 μB per cell
1.0
-3.5812 3.5812 3.1321
3.5812 -3.5812 3.1321
3.5812 3.5812 -3.1321
Zn Cd Ag
1 5 2
direct
0.0000 0.0000 0.0000 Zn
0.4991 0.4991 0.0000 Cd
0.4999 0.4999 0.5005 Cd
0.4999 0.9995 0.0000 Cd
0.9995 0.4999 0.0000 Cd
0.9995 0.9995 0.4995 Cd
0.9997 0.4997 0.5000 Ag
0.4997 0.9997 0.5000 Ag

---

ZnCd2Ag3 (PBE, relaxed); SG = No. 63; E_form = 45 meV/atom; distance to the lowest polymorph of the same formula = 0.088 eV/atom; DFT total energy = -22.78 eV per cell; spin magnetization = 0.0 μB per cell
1.0
4.4370 -4.6771 0.0000
4.4370 4.6771 0.0000
0.0000 0.0000 5.5831
Zn Cd Ag
2 4 6
direct
0.2271 0.7729 0.7500 Zn
0.7729 0.2271 0.2500 Zn
0.1023 0.5568 0.2500 Cd
0.4432 0.8977 0.2500 Cd
0.5568 0.1023 0.7500 Cd
0.8977 0.4432 0.7500 Cd
0.1604 0.1604 0.0000 Ag
0.1604 0.1604 0.5000 Ag
0.5000 0.5000 0.0000 Ag
0.5000 0.5000 0.5000 Ag
0.8396 0.8396 0.0000 Ag
0.8396 0.8396 0.5000 Ag

---

Zn2CdAg2 (PBE, relaxed); SG = No. 127; E_form = 18 meV/atom; distance to the lowest polymorph of the same formula = 0.036 eV/atom; DFT total energy = -18.15 eV per cell; spin magnetization = 0.0 μB per cell
1.0
7.5672 0.0000 0.0000
0.0000 7.5672 0.0000
0.0000 0.0000 3.1173
Zn Cd Ag
4 2 4
direct
0.1600 0.3400 0.0000 Zn
0.3400 0.8400 0.0000 Zn
0.6600 0.1600 0.0000 Zn
0.8400 0.6600 0.0000 Zn
0.0000 0.0000 0.5000 Cd
0.5000 0.5000 0.5000 Cd
0.1377 0.6377 0.5000 Ag
0.3623 0.1377 0.5000 Ag
0.6377 0.8623 0.5000 Ag
0.8623 0.3623 0.5000 Ag

---

Zn2CdAg5 (PBE, relaxed); SG = No. 65; E_form = -24 meV/atom; distance to the lowest polymorph of the same formula = 0.000 eV/atom; DFT total energy = -35.83 eV per cell; spin magnetization = 0.0 μB per cell
1.0
3.7415 -4.3313 0.0000
3.7415 4.3313 0.0000
0.0000 0.0000 8.5944
Zn Cd Ag
4 2 10
direct
0.0000 0.0000 0.2492 Zn
0.0000 0.0000 0.7508 Zn
0.2731 0.7269 0.5000 Zn
0.7269 0.2731 0.5000 Zn
0.2685 0.7315 0.0000 Cd
0.7315 0.2685 0.0000 Cd
0.0000 0.5000 0.2638 Ag
0.0000 0.5000 0.7362 Ag
0.2171 0.2171 0.5000 Ag
0.2256 0.2256 0.0000 Ag
0.5000 0.0000 0.2638 Ag
0.5000 0.0000 0.7362 Ag
0.5000 0.5000 0.2587 Ag
0.5000 0.5000 0.7413 Ag
0.7744 0.7744 0.0000 Ag
0.7829 0.7829 0.5000 Ag

---

Zn4CdAg5 (PBE, relaxed); SG = No. 123; E_form = -37 meV/atom; DFT total energy = -20.63 eV per cell; spin magnetization = 0.0 μB per cell
1.0
3.2506 0.0000 0.0000
0.0000 3.2506 0.0000
0.0000 0.0000 15.8867
Zn Cd Ag
4 1 5
direct
0.0000 0.0000 0.0963 Zn
0.0000 0.0000 0.2889 Zn
0.0000 0.0000 0.7111 Zn
0.0000 0.0000 0.9037 Zn
0.0000 0.0000 0.5000 Cd
0.5000 0.5000 0.0000 Ag
0.5000 0.5000 0.1927 Ag
0.5000 0.5000 0.3834 Ag
0.5000 0.5000 0.6166 Ag
0.5000 0.5000 0.8073 Ag